# MnHPd3

A relaxed MnHPd3 crystal (PBE-GGA, Alexandria).

```
data_MnHPd3
_space_group_name_H-M_alt 'P 1'
_space_group_IT_number 1
_space_group_name_Hall 'P 1'
_cell_length_a 7.058
_cell_length_b 7.058
_cell_length_c 7.058
_cell_angle_alpha 39.46
_cell_angle_beta 39.46
_cell_angle_gamma 39.46
loop_
_atom_site_label
_atom_site_type_symbol
_atom_site_fract_x
_atom_site_fract_y
_atom_site_fract_z
_atom_site_occupancy
Pd1 Pd 0.430 0.105 0.773 1
Pd2 Pd 0.105 0.773 0.430 1
Pd3 Pd 0.570 0.895 0.227 1
Pd4 Pd 0.895 0.227 0.570 1
Pd5 Pd 0.227 0.570 0.895 1
Pd6 Pd 0.773 0.430 0.105 1
Mn1 Mn 0.668 0.668 0.668 1
Mn2 Mn 0.332 0.332 0.332 1
H1 H 0.820 0.820 0.820 1
H2 H 0.180 0.180 0.180 1
```

Computed properties:
**Energy relative to the lowest polymorph listed for this composition**: 2.51 eV/f.u.
**DOS(E_F)**: 5.180 states/eV/f.u.
**VASP energy**: -5.346 eV per atom
**Total moment**: 0.00 μB/f.u.